# K6Ag2O GGA-PBE optimized geometry
# E_form (uncorrected)	-0.335	eV/atom
# energy	-2.25	eV per atom
data_K6Ag2O
_chemical_formula_sum 'K24 Ag8 O4'
_cell_length_a 11.207
_cell_length_b 11.207
_cell_length_c 11.207
_cell_angle_alpha 90.00
_cell_angle_beta 90.00
_cell_angle_gamma 90.00
_space_group_name_H-M_alt 'F m -3 m'
_space_group_IT_number 225
_space_group_name_Hall '-F 4 2 3'
loop_
_atom_site_label
_atom_site_fract_x
_atom_site_fract_y
_atom_site_fract_z
K1 0.000 0.000 0.232
Ag1 0.250 0.250 0.250
O1 0.000 0.000 0.000



# KAgO2 GGA-PBE optimized geometry
# E_form (uncorrected)	-0.649	eV/atom
# energy	-4.12	eV per atom
data_KAgO2
_chemical_formula_sum 'K1 Ag1 O2'
_cell_length_a 3.046
_cell_length_b 3.729
_cell_length_c 5.931
_cell_angle_alpha 90.00
_cell_angle_beta 90.00
_cell_angle_gamma 90.00
_space_group_name_H-M_alt 'P m m m'
_space_group_IT_number 47
_space_group_name_Hall '-P 2 2'
loop_
_atom_site_label
_atom_site_fract_x
_atom_site_fract_y
_atom_site_fract_z
K1 0.000 0.000 0.000
Ag1 0.000 0.500 0.500
O1 0.500 0.500 0.270



# K8Ag6O GGA-PBE optimized geometry
# E_form (uncorrected)	-0.129	eV/atom
# energy	-2.19	eV per atom
data_K8Ag6O
_chemical_formula_sum 'K24 Ag18 O3'
_cell_length_a 10.3671
_cell_length_b 10.3671
_cell_length_c 18.4295
_cell_angle_alpha 90.00
_cell_angle_beta 90.00
_cell_angle_gamma 120.00
_space_group_name_H-M_alt 'R -3'
_space_group_IT_number 148
_space_group_name_Hall '-R 3'
loop_
_atom_site_label
_atom_site_fract_x
_atom_site_fract_y
_atom_site_fract_z
K1 0.0000 0.0000 0.1298
K2 0.0019 0.2115 0.5822
Ag1 0.0272 0.4393 0.4333
O1 0.0000 0.0000 0.5000



# K2AgOsO4 GGA-PBE optimized geometry
# E_form (uncorrected)	-0.991	eV/atom
# energy	-5.50	eV per atom
data_K2AgOsO4
_chemical_formula_sum 'K4 Ag2 Os2 O8'
_cell_length_a 6.244
_cell_length_b 6.244
_cell_length_c 7.307
_cell_angle_alpha 90.00
_cell_angle_beta 90.00
_cell_angle_gamma 90.00
_space_group_name_H-M_alt 'I -4'
_space_group_IT_number 82
_space_group_name_Hall 'I -4'
loop_
_atom_site_label
_atom_site_fract_x
_atom_site_fract_y
_atom_site_fract_z
K1 0.000 0.000 0.000
K2 0.000 0.500 0.250
Ag1 0.000 0.000 0.500
Os1 0.000 0.500 0.750
O1 0.159 0.744 0.697



# K4AgOs3O12 GGA-PBE optimized geometry
# E_form (uncorrected)	-1.088	eV/atom
# energy	-6.11	eV per atom
data_K4AgOs3O12
_chemical_formula_sum 'K8 Ag2 Os6 O24'
_cell_length_a 8.116
_cell_length_b 8.116
_cell_length_c 8.116
_cell_angle_alpha 90.00
_cell_angle_beta 90.00
_cell_angle_gamma 90.00
_space_group_name_H-M_alt 'I m -3 m'
_space_group_IT_number 229
_space_group_name_Hall '-I 4 2 3'
loop_
_atom_site_label
_atom_site_fract_x
_atom_site_fract_y
_atom_site_fract_z
K1 0.250 0.250 0.250
Ag1 0.000 0.000 0.000
Os1 0.000 0.000 0.500
O1 0.000 0.000 0.277
O2 0.000 0.250 0.500



# K3AgOs2O9 GGA-PBE optimized geometry
# E_form (uncorrected)	-1.136	eV/atom
# energy	-6.02	eV per atom
data_K3AgOs2O9
_chemical_formula_sum 'K3 Ag1 Os2 O9'
_cell_length_a 5.7113
_cell_length_b 5.7113
_cell_length_c 7.5217
_cell_angle_alpha 90.00
_cell_angle_beta 90.00
_cell_angle_gamma 120.00
_space_group_name_H-M_alt 'P -3 m 1'
_space_group_IT_number 164
_space_group_name_Hall '-P 3 2"'
loop_
_atom_site_label
_atom_site_fract_x
_atom_site_fract_y
_atom_site_fract_z
K1 0.0000 0.0000 0.0000
K2 0.3333 0.6667 0.6693
Ag1 0.0000 0.0000 0.5000
Os1 0.3333 0.6667 0.1561
O1 0.0000 0.5000 0.0000
O2 0.1780 0.3559 0.2868



# KAgPO4 GGA-PBE optimized geometry
# E_form (uncorrected)	-1.436	eV/atom
# energy	-5.61	eV per atom
data_KAgPO4
_chemical_formula_sum 'K4 Ag4 P4 O16'
_cell_length_a 8.599
_cell_length_b 8.599
_cell_length_c 8.599
_cell_angle_alpha 90.00
_cell_angle_beta 90.00
_cell_angle_gamma 90.00
_space_group_name_H-M_alt 'F -4 3 m'
_space_group_IT_number 216
_space_group_name_Hall 'F -4 2 3'
loop_
_atom_site_label
_atom_site_fract_x
_atom_site_fract_y
_atom_site_fract_z
K1 0.000 0.000 0.000
Ag1 0.250 0.250 0.750
P1 0.000 0.000 0.500
O1 0.104 0.104 0.604



# KAgPO2 GGA-PBE optimized geometry
# offset from the most stable computed form	818	meV per atom
# E_form (uncorrected)	1.179	eV/atom
# energy	-2.68	eV per atom
data_KAgPO2
_chemical_formula_sum 'K1 Ag1 P1 O2'
_cell_length_a 4.611
_cell_length_b 4.611
_cell_length_c 6.284
_cell_angle_alpha 90.00
_cell_angle_beta 90.00
_cell_angle_gamma 90.00
_space_group_name_H-M_alt 'P 4/m m m'
_space_group_IT_number 123
_space_group_name_Hall '-P 4 2'
loop_
_atom_site_label
_atom_site_fract_x
_atom_site_fract_y
_atom_site_fract_z
K1 0.000 0.000 0.000
Ag1 0.500 0.500 0.500
P1 0.000 0.000 0.500
O1 0.000 0.500 0.000



# KAgP2O8 GGA-PBE optimized geometry
# E_form (uncorrected)	-1.404	eV/atom
# energy	-5.94	eV per atom
data_KAgP2O8
_chemical_formula_sum 'K1 Ag1 P2 O8'
_cell_length_a 4.8995
_cell_length_b 4.8995
_cell_length_c 8.4537
_cell_angle_alpha 90.00
_cell_angle_beta 90.00
_cell_angle_gamma 120.00
_space_group_name_H-M_alt 'P -3'
_space_group_IT_number 147
_space_group_name_Hall '-P 3'
loop_
_atom_site_label
_atom_site_fract_x
_atom_site_fract_y
_atom_site_fract_z
K1 0.0000 0.0000 0.0000
Ag1 0.0000 0.0000 0.5000
P1 0.3333 0.6667 0.7105
O1 0.0397 0.3522 0.6559
O2 0.3333 0.6667 0.8910



# KAgPO2 GGA-PBE optimized geometry
# offset from the most stable computed form	0	meV per atom
# E_form (uncorrected)	0.361	eV/atom
# energy	-3.49	eV per atom
data_KAgPO2
_chemical_formula_sum 'K1 Ag1 P1 O2'
_cell_length_a 4.437
_cell_length_b 4.437
_cell_length_c 4.634
_cell_angle_alpha 90.00
_cell_angle_beta 90.00
_cell_angle_gamma 90.00
_space_group_name_H-M_alt 'P 4/m m m'
_space_group_IT_number 123
_space_group_name_Hall '-P 4 2'
loop_
_atom_site_label
_atom_site_fract_x
_atom_site_fract_y
_atom_site_fract_z
K1 0.000 0.000 0.000
Ag1 0.500 0.500 0.500
P1 0.500 0.500 0.000
O1 0.000 0.500 0.500



# K2PaAg2O6 GGA-PBE optimized geometry
# E_form (uncorrected)	-1.476	eV/atom
# energy	-5.76	eV per atom
data_K2PaAg2O6
_chemical_formula_sum 'K6 Pa3 Ag6 O18'
_cell_length_a 6.4188
_cell_length_b 6.4188
_cell_length_c 17.7435
_cell_angle_alpha 90.00
_cell_angle_beta 90.00
_cell_angle_gamma 120.00
_space_group_name_H-M_alt 'R -3 m'
_space_group_IT_number 166
_space_group_name_Hall '-R 3 2"'
loop_
_atom_site_label
_atom_site_fract_x
_atom_site_fract_y
_atom_site_fract_z
K1 0.0000 0.0000 0.2089
Pa1 0.0000 0.0000 0.0000
Ag1 0.0000 0.0000 0.4146
O1 0.0367 0.5184 0.7439



# KPa3Ag4O12 GGA-PBE optimized geometry
# E_form (uncorrected)	-1.877	eV/atom
# energy	-6.90	eV per atom
data_KPa3Ag4O12
_chemical_formula_sum 'K3 Pa9 Ag12 O36'
_cell_length_a 11.9581
_cell_length_b 11.9581
_cell_length_c 8.8377
_cell_angle_alpha 90.00
_cell_angle_beta 90.00
_cell_angle_gamma 120.00
_space_group_name_H-M_alt 'R 3 2'
_space_group_IT_number 155
_space_group_name_Hall 'R 3 2"'
loop_
_atom_site_label
_atom_site_fract_x
_atom_site_fract_y
_atom_site_fract_z
K1 0.0000 0.0000 0.0000
Pa1 0.0000 0.5666 0.0000
Ag1 0.0000 0.0000 0.5000
Ag2 0.0000 0.4131 0.5000
O1 0.0000 0.6029 0.5000
O2 0.0000 0.8216 0.5000
O3 0.0608 0.2103 0.2214